[1]
This record from Alexandria via LeMat-Bulk describes an optimized crystal structure of Th2TeN. The functional is PBE.

a = 7.706 Å, b = 7.706 Å, c = 7.706 Å
α = 28.93°, β = 28.93°, γ = 28.93°
Positions (direct):
Th1 0.228 0.228 0.228
Th2 0.772 0.772 0.772
Te1 0.000 0.000 0.000
N1 0.500 0.500 0.500

Calculated values
Offset from the most stable computed form ... 0.000 eV/f.u.
Space-group type ... R-3m, No. 166
M_tot ... 0.000 μB per cell
Energy relative to the elements, uncorrected ... -1.25 eV/atom

***

[2]
This record from Alexandria via LeMat-Bulk describes an optimized crystal structure of ThTiTe2N. The functional is PBE.

a = 4.047 Å, b = 4.047 Å, c = 14.454 Å
α = 90.00°, β = 90.00°, γ = 90.00°
Positions (direct):
Th1 0.250 0.250 0.081
Th2 0.750 0.750 0.919
Ti1 0.250 0.250 0.586
Ti2 0.750 0.750 0.414
Te1 0.250 0.250 0.394
Te2 0.250 0.250 0.778
Te3 0.750 0.750 0.222
Te4 0.750 0.750 0.606
N1 0.250 0.750 0.000
N2 0.750 0.250 0.000

Calculated values
Space-group type ... P4/nmm, No. 129
M_tot ... 0.003 μB per cell
Energy relative to the elements, uncorrected ... -1.16 eV/atom

***

[3]
This record from Alexandria via LeMat-Bulk describes an optimized crystal structure of ThTlTeN. The functional is PBE.

a = 4.290 Å, b = 4.290 Å, c = 11.379 Å
α = 90.00°, β = 90.00°, γ = 90.00°
Positions (direct):
Th1 0.250 0.250 0.094
Th2 0.750 0.750 0.906
Tl1 0.250 0.750 0.500
Tl2 0.750 0.250 0.500
Te1 0.250 0.250 0.738
Te2 0.750 0.750 0.262
N1 0.250 0.750 0.000
N2 0.750 0.250 0.000

Calculated values
Space-group type ... P4/nmm, No. 129
M_tot ... 0.000 μB per cell
Energy relative to the elements, uncorrected ... -1.08 eV/atom

***

[4]
This record from Alexandria via LeMat-Bulk describes an optimized crystal structure of ThUTeN2. The functional is PBE.

a = 7.069 Å, b = 7.069 Å, c = 7.069 Å
α = 147.16°, β = 147.16°, γ = 47.13°
Positions (direct):
Th1 0.000 0.000 0.000
U1 0.322 0.322 0.000
Te1 0.660 0.660 0.000
N1 0.404 0.904 0.500
N2 0.904 0.404 0.500

Calculated values
Space-group type ... I4mm, No. 107
M_tot ... 2.001 μB per cell
Energy relative to the elements, uncorrected ... -1.53 eV/atom

***

[5]
This record from Alexandria via LeMat-Bulk describes an optimized crystal structure of ThUTe2N. The functional is PBE.

a = 4.251 Å, b = 4.251 Å, c = 14.937 Å
α = 90.00°, β = 90.00°, γ = 90.00°
Positions (direct):
Th1 0.250 0.250 0.073
Th2 0.750 0.750 0.927
U1 0.250 0.250 0.597
U2 0.750 0.750 0.403
Te1 0.250 0.250 0.385
Te2 0.250 0.250 0.796
Te3 0.750 0.750 0.204
Te4 0.750 0.750 0.615
N1 0.250 0.750 0.000
N2 0.750 0.250 0.000

Calculated values
Space-group type ... P4/nmm, No. 129
M_tot ... 5.371 μB per cell
Energy relative to the elements, uncorrected ... -1.14 eV/atom

***

[6]
This record from Alexandria via LeMat-Bulk describes an optimized crystal structure of YThTe2N. The functional is PBE.

a = 4.223 Å, b = 4.223 Å, c = 15.857 Å
α = 90.00°, β = 90.00°, γ = 90.00°
Positions (direct):
Y1 0.250 0.250 0.128
Y2 0.750 0.750 0.872
Th1 0.250 0.250 0.570
Th2 0.750 0.750 0.430
Te1 0.250 0.250 0.309
Te2 0.250 0.250 0.916
Te3 0.750 0.750 0.084
Te4 0.750 0.750 0.691
N1 0.250 0.750 0.500
N2 0.750 0.250 0.500

Calculated values
Space-group type ... P4/nmm, No. 129
M_tot ... 0.000 μB per cell
Energy relative to the elements, uncorrected ... -1.55 eV/atom

***

[7]
This record from Alexandria via LeMat-Bulk describes an optimized crystal structure of YThTeN2. The functional is PBE.

a = 7.276 Å, b = 7.276 Å, c = 5.738 Å
α = 90.00°, β = 90.00°, γ = 133.98°
Positions (direct):
Y1 0.079 0.921 0.750
Y2 0.921 0.079 0.250
Th1 0.415 0.585 0.750
Th2 0.585 0.415 0.250
Te1 0.249 0.751 0.250
Te2 0.751 0.249 0.750
N1 0.255 0.255 0.000
N2 0.255 0.255 0.500
N3 0.745 0.745 0.000
N4 0.745 0.745 0.500

Calculated values
Space-group type ... Cmcm, No. 63
M_tot ... 0.000 μB per cell
Energy relative to the elements, uncorrected ... -1.43 eV/atom

***

[8]
This record from Alexandria via LeMat-Bulk describes an optimized crystal structure of ThZrTeN2. The functional is PBE.

a = 6.969 Å, b = 4.143 Å, c = 7.795 Å
α = 90.00°, β = 109.51°, γ = 90.00°
Positions (direct):
Th1 0.177 0.250 0.428
Th2 0.823 0.750 0.572
Zr1 0.134 0.250 0.917
Zr2 0.866 0.750 0.083
Te1 0.462 0.750 0.768
Te2 0.538 0.250 0.232
N1 0.014 0.750 0.887
N2 0.017 0.750 0.373
N3 0.983 0.250 0.627
N4 0.986 0.250 0.113

Calculated values
Space-group type ... P2_1/m, No. 11
M_tot ... 0.000 μB per cell
Energy relative to the elements, uncorrected ... -1.58 eV/atom